# GGA-PBE TeC3, relaxed
data_TeC3
_cell_length_a 4.824
_cell_length_b 4.824
_cell_length_c 8.570
_cell_angle_alpha 90.00
_cell_angle_beta 90.00
_cell_angle_gamma 120.00
_symmetry_space_group_name_H-M 'P 1'
_symmetry_Int_Tables_number 1
loop_
_symmetry_equiv_pos_as_xyz
'x,y,z'
loop_
_atom_site_label
_atom_site_type_symbol
_atom_site_fract_x
_atom_site_fract_y
_atom_site_fract_z
_atom_site_occupancy
Te1 Te 0.333 0.667 0.250 1
Te2 Te 0.667 0.333 0.750 1
C1 C 0.099 0.198 0.750 1
C2 C 0.099 0.901 0.750 1
C3 C 0.198 0.099 0.250 1
C4 C 0.802 0.901 0.750 1
C5 C 0.901 0.099 0.250 1
C6 C 0.901 0.802 0.250 1
# - Electronic total energy: -5.64 eV per atom
# - Uncorrected formation energy: 8.24 eV per formula unit
# - SG: P6_3/mmc, No. 194
# - E above lowest polymorph: 1093.5 meV/atom

=====

# GGA-PBE ZnNiN2, relaxed
data_ZnNiN2
_cell_length_a 5.881
_cell_length_b 5.881
_cell_length_c 5.881
_cell_angle_alpha 29.03
_cell_angle_beta 29.03
_cell_angle_gamma 29.03
_symmetry_space_group_name_H-M 'P 1'
_symmetry_Int_Tables_number 1
loop_
_symmetry_equiv_pos_as_xyz
'x,y,z'
loop_
_atom_site_label
_atom_site_type_symbol
_atom_site_fract_x
_atom_site_fract_y
_atom_site_fract_z
_atom_site_occupancy
Zn1 Zn 0.000 0.000 0.000 1
Ni1 Ni 0.500 0.500 0.500 1
N1 N 0.111 0.111 0.111 1
N2 N 0.889 0.889 0.889 1
# - Electronic total energy: -5.39 eV per atom
# - Uncorrected formation energy: 2.14 eV per formula unit
# - SG: R-3m, No. 166

=====

# GGA-PBE PrBeB, relaxed
data_PrBeB
_cell_length_a 3.625
_cell_length_b 4.114
_cell_length_c 6.337
_cell_angle_alpha 90.00
_cell_angle_beta 90.00
_cell_angle_gamma 90.00
_symmetry_space_group_name_H-M 'P 1'
_symmetry_Int_Tables_number 1
loop_
_symmetry_equiv_pos_as_xyz
'x,y,z'
loop_
_atom_site_label
_atom_site_type_symbol
_atom_site_fract_x
_atom_site_fract_y
_atom_site_fract_z
_atom_site_occupancy
Pr1 Pr 0.000 0.001 0.000 1
Pr2 Pr 0.500 0.999 0.500 1
Be1 Be 0.000 0.500 0.333 1
Be2 Be 0.500 0.500 0.833 1
B1 B 0.000 0.501 0.666 1
B2 B 0.500 0.499 0.166 1
# - Electronic total energy: -5.04 eV per atom
# - SG: Pmn2_1, No. 31
# - ΔH_f (0 K): 0.017 eV per atom

=====

# GGA-PBE Ac3Se5, relaxed
data_Ac3Se5
_cell_length_a 9.407
_cell_length_b 9.407
_cell_length_c 6.215
_cell_angle_alpha 90.00
_cell_angle_beta 90.00
_cell_angle_gamma 120.00
_symmetry_space_group_name_H-M 'P 1'
_symmetry_Int_Tables_number 1
loop_
_symmetry_equiv_pos_as_xyz
'x,y,z'
loop_
_atom_site_label
_atom_site_type_symbol
_atom_site_fract_x
_atom_site_fract_y
_atom_site_fract_z
_atom_site_occupancy
Ac1 Ac 0.000 0.364 0.250 1
Ac2 Ac 0.000 0.636 0.750 1
Ac3 Ac 0.364 0.000 0.250 1
Ac4 Ac 0.364 0.364 0.750 1
Ac5 Ac 0.636 0.000 0.750 1
Ac6 Ac 0.636 0.636 0.250 1
Se1 Se 0.000 0.283 0.750 1
Se2 Se 0.000 0.717 0.250 1
Se3 Se 0.283 0.000 0.750 1
Se4 Se 0.283 0.283 0.250 1
Se5 Se 0.333 0.667 0.000 1
Se6 Se 0.333 0.667 0.500 1
Se7 Se 0.667 0.333 0.000 1
Se8 Se 0.667 0.333 0.500 1
Se9 Se 0.717 0.000 0.250 1
Se10 Se 0.717 0.717 0.750 1
# - Electronic total energy: -5.63 eV per atom
# - Uncorrected formation energy: -15.28 eV per formula unit
# - SG: P6_3/mcm, No. 193

=====

# GGA-PBE Pm2NdAg8, relaxed
data_Pm2NdAg8
_cell_length_a 8.701
_cell_length_b 8.701
_cell_length_c 5.265
_cell_angle_alpha 107.57
_cell_angle_beta 107.57
_cell_angle_gamma 124.53
_symmetry_space_group_name_H-M 'P 1'
_symmetry_Int_Tables_number 1
loop_
_symmetry_equiv_pos_as_xyz
'x,y,z'
loop_
_atom_site_label
_atom_site_type_symbol
_atom_site_fract_x
_atom_site_fract_y
_atom_site_fract_z
_atom_site_occupancy
Pm1 Pm 0.185 0.815 0.000 1
Pm2 Pm 0.815 0.185 0.000 1
Nd1 Nd 0.500 0.500 0.500 1
Ag1 Ag 0.000 0.000 0.251 1
Ag2 Ag 0.000 0.000 0.749 1
Ag3 Ag 0.144 0.403 0.773 1
Ag4 Ag 0.298 0.702 0.500 1
Ag5 Ag 0.403 0.144 0.773 1
Ag6 Ag 0.597 0.856 0.227 1
Ag7 Ag 0.702 0.298 0.500 1
Ag8 Ag 0.856 0.597 0.227 1
# - Electronic total energy: -3.59 eV per atom
# - SG: C2/m, No. 12
# - ΔH_f (0 K): -0.215 eV per atom

=====

# GGA-PBE FeSiW3, relaxed
data_FeSiW3
_cell_length_a 4.434
_cell_length_b 4.434
_cell_length_c 4.434
_cell_angle_alpha 90.00
_cell_angle_beta 90.00
_cell_angle_gamma 90.00
_symmetry_space_group_name_H-M 'P 1'
_symmetry_Int_Tables_number 1
loop_
_symmetry_equiv_pos_as_xyz
'x,y,z'
loop_
_atom_site_label
_atom_site_type_symbol
_atom_site_fract_x
_atom_site_fract_y
_atom_site_fract_z
_atom_site_occupancy
Fe1 Fe 0.000 0.000 0.000 1
Si1 Si 0.500 0.500 0.500 1
W1 W 0.000 0.500 0.500 1
W2 W 0.500 0.000 0.500 1
W3 W 0.500 0.500 0.000 1
# - Electronic total energy: -8.91 eV per atom
# - Uncorrected formation energy: 8.22 eV per formula unit
# - SG: Pm-3m, No. 221
# - E above lowest polymorph: 206.1 meV/atom

=====

> Which formula does entry 2 have?

ZnNiN2

=====

> Which of these has the highest electronic total energy?

Pm2NdAg8